First-principles (PBE-GGA) data for an optimized crystal structure of Ca2Ge3AsIr4, as listed in Alexandria.

Output
Its spin magnetization is 0.00 μB per cell. The calculation puts the raw total energy at -6.416 eV per atom. Its space group is P-4m2 (115). For the formation energy, the calculation gives -0.62 eV/atom.

Structure (extended XYZ):
```
10
Lattice="4.279 0.000 0.000 0.000 4.279 0.000 0.000 0.000 10.109" Properties=species:S:1:pos:R:3 pbc="T T T"
Ca 0.000 2.139 2.510
Ca 2.139 0.000 7.599
Ge 0.000 0.000 0.000
Ge 0.000 2.139 6.369
Ge 2.139 0.000 3.739
As 2.139 2.139 0.000
Ir 0.000 0.000 5.054
Ir 0.000 2.139 8.841
Ir 2.139 0.000 1.267
Ir 2.139 2.139 5.054
```

=====

First-principles (PBE-GGA) data for an optimized crystal structure of LiCaGe2As, as listed in Alexandria.

Output
Its spin magnetization is 0.00 μB per cell. The calculation puts the raw total energy at -3.642 eV per atom. Its space group is P4/mmm (123). For the formation energy, the calculation gives -0.08 eV/atom.

Structure (extended XYZ):
```
5
Lattice="4.672 0.000 0.000 0.000 4.672 0.000 0.000 0.000 4.787" Properties=species:S:1:pos:R:3 pbc="T T T"
Li 0.000 0.000 0.000
Ca 2.336 2.336 2.394
Ge 0.000 2.336 0.000
Ge 2.336 0.000 0.000
As 0.000 0.000 2.394
```

=====

First-principles (PBE-GGA) data for an optimized crystal structure of CaMg2GeAs, as listed in Alexandria.

Output
Its spin magnetization is 0.00 μB per cell. The calculation puts the raw total energy at -2.869 eV per atom. Its space group is P4/mmm (123). For the formation energy, the calculation gives 0.02 eV/atom.

Structure (extended XYZ):
```
5
Lattice="4.945 0.000 0.000 0.000 4.945 0.000 0.000 0.000 5.590" Properties=species:S:1:pos:R:3 pbc="T T T"
Ca 0.000 0.000 0.000
Mg 0.000 2.472 2.795
Mg 2.472 0.000 2.795
Ge 2.472 2.472 2.795
As 2.472 2.472 0.000
```

=====

First-principles (PBE-GGA) data for an optimized crystal structure of CaGeMo2As, as listed in Alexandria.

Output
Its spin magnetization is 3.58 μB per cell. The calculation puts the raw total energy at -5.655 eV per atom. Its space group is P4/mmm (123). For the formation energy, the calculation gives 0.93 eV/atom.

Structure (extended XYZ):
```
5
Lattice="4.753 0.000 0.000 0.000 4.753 0.000 0.000 0.000 5.255" Properties=species:S:1:pos:R:3 pbc="T T T"
Ca 0.000 0.000 0.000
Ge 0.000 0.000 2.628
Mo 0.000 2.376 2.628
Mo 2.376 0.000 2.628
As 2.376 2.376 0.000
```

=====

First-principles (PBE-GGA) data for an optimized crystal structure of Ca2Ni4Ge3As, as listed in Alexandria.

Output
Its spin magnetization is 0.00 μB per cell. The calculation puts the raw total energy at -5.110 eV per atom. Its space group is P-4m2 (115). For the formation energy, the calculation gives -0.55 eV/atom.

Structure (extended XYZ):
```
10
Lattice="4.145 0.000 0.000 0.000 4.145 0.000 0.000 0.000 9.711" Properties=species:S:1:pos:R:3 pbc="T T T"
Ca 0.000 2.072 2.416
Ca 2.072 0.000 7.295
Ni 0.000 0.000 0.000
Ni 0.000 2.072 6.096
Ni 2.072 0.000 3.615
Ni 2.072 2.072 0.000
Ge 0.000 2.072 8.506
Ge 2.072 0.000 1.205
Ge 2.072 2.072 4.855
As 0.000 0.000 4.855
```

=====

First-principles (PBE-GGA) data for an optimized crystal structure of Ca2Ni4GeAs3, as listed in Alexandria.

Output
Its spin magnetization is 0.00 μB per cell. The calculation puts the raw total energy at -5.218 eV per atom. Its space group is P-4m2 (115). For the formation energy, the calculation gives -0.65 eV/atom.

Structure (extended XYZ):
```
10
Lattice="4.111 0.000 0.000 0.000 4.111 0.000 0.000 0.000 9.770" Properties=species:S:1:pos:R:3 pbc="T T T"
Ca 0.000 2.055 2.400
Ca 2.055 0.000 7.370
Ni 0.000 0.000 0.000
Ni 0.000 2.055 6.135
Ni 2.055 0.000 3.635
Ni 2.055 2.055 0.000
Ge 0.000 0.000 4.885
As 0.000 2.055 8.494
As 2.055 0.000 1.276
As 2.055 2.055 4.885
```

=====

First-principles (PBE-GGA) data for an optimized crystal structure of CaNi2GeAs, as listed in Alexandria.

Output
Its spin magnetization is 0.00 μB per cell. The calculation puts the raw total energy at -4.532 eV per atom. Its space group is P4/mmm (123). For the formation energy, the calculation gives 0.03 eV/atom.

Structure (extended XYZ):
```
5
Lattice="4.431 0.000 0.000 0.000 4.431 0.000 0.000 0.000 5.127" Properties=species:S:1:pos:R:3 pbc="T T T"
Ca 0.000 0.000 0.000
Ni 0.000 2.215 2.563
Ni 2.215 0.000 2.563
Ge 2.215 2.215 0.000
As 2.215 2.215 2.563
```

=====

First-principles (PBE-GGA) data for an optimized crystal structure of CaGeAsO5, as listed in Alexandria.

Output
Its spin magnetization is 0.00 μB per cell. The calculation puts the raw total energy at -6.252 eV per atom. Its space group is C2/c (15). The formation energy from raw total energies comes out at -1.7441 eV/atom.

Structure (extended XYZ):
```
16
Lattice="3.472 -4.616 0.000 3.472 4.616 0.000 -2.705 0.000 6.621" Properties=species:S:1:pos:R:3 pbc="T T T"
Ca 1.443 2.968 4.966
Ca 2.795 -2.968 1.655
Ge 3.472 0.000 0.000
Ge 2.119 0.000 3.310
As 2.795 3.045 1.655
As 1.443 -3.045 4.966
O -1.315 0.508 6.137
O 1.652 2.053 2.520
O 0.037 -0.508 2.826
O 3.939 2.053 0.790
O 1.443 0.624 4.966
O 2.795 -0.624 1.655
O 0.299 -2.053 5.831
O 4.201 0.508 3.795
O 2.586 -2.053 4.101
O 5.554 -0.508 0.484
```